No. 1
# Co3Cu

Co3Cu at its PBEsol-relaxed geometry (SCAN, the Alexandria database).

Cell lengths 2.4493, 4.0111, 4.2988 Å; angles 90.00, 90.00, 90.00 degrees
Site moments in Bohr magnetons follow the coordinates.
Sites, in units of the cell vectors:
1 Co 0.5000 0.0000 0.5061  1.83
2 Co 0.5000 0.5000 0.8300  1.83
3 Co 0.0000 0.0000 0.0003  1.77
4 Cu 0.0000 0.5000 0.3302  0.10

E_form = 0.1112 eV/atom
mass density = 9.45 g cm⁻³
total moment = 5.35 μB/cell

***

No. 2
# Zr2ScAl

Zr2ScAl at its PBEsol-relaxed geometry (SCAN, the Alexandria database).

Cell lengths 4.2601, 4.2601, 5.3902 Å; angles 113.28, 113.28, 90.00 degrees
Sites, in units of the cell vectors:
1 Zr 0.0000 0.0000 0.0000
2 Sc 0.2500 0.7500 0.5000
3 Al 0.5000 0.5000 0.0000
4 Zr 0.7500 0.2500 0.5000

E_form = -0.2503 eV/atom
mass density = 5.21 g cm⁻³
total moment = 0.00 μB/cell

***

No. 3
# ZrMnIn2

ZrMnIn2 at its PBEsol-relaxed geometry (SCAN, the Alexandria database).

Cell lengths 4.1609, 4.1609, 5.4041 Å; angles 112.64, 112.64, 90.00 degrees
Site moments in Bohr magnetons follow the coordinates.
Sites, in units of the cell vectors:
1 Mn 0.5000 0.5000 0.0000  3.91
2 Zr 0.2500 0.7500 0.5000  -0.47
3 In 0.0000 0.0000 0.0000  -0.10
4 In 0.7500 0.2500 0.5000  -0.02

E_form = -0.2372 eV/atom
mass density = 7.95 g cm⁻³
total moment = 3.19 μB/cell

***

No. 4
# Fe2CoSi

Fe2CoSi at its PBEsol-relaxed geometry (SCAN, the Alexandria database).

Cell lengths 2.5976, 3.9742, 4.0868 Å; angles 90.00, 90.00, 90.00 degrees
Site moments in Bohr magnetons follow the coordinates.
Sites, in units of the cell vectors:
1 Fe 0.8751 0.5000 0.2915  2.47
2 Si 0.3750 0.0000 0.4566  -0.12
3 Fe 0.8750 0.0000 0.9624  2.24
4 Co 0.3750 0.5000 0.7895  1.51

calculated total energy = -64.21 eV/f.u.
mass density = 7.82 g cm⁻³
total moment = 5.94 μB/cell

***

No. 5
# CaHgMo2

CaHgMo2 at its PBEsol-relaxed geometry (SCAN, the Alexandria database).

Cell lengths 3.2511, 3.2567, 7.5309 Å; angles 91.96, 90.00, 90.00 degrees
Sites, in units of the cell vectors:
1 Ca 0.0000 0.9822 0.4904
2 Mo 0.5000 0.4826 0.1929
3 Hg 0.5000 0.5018 0.7817
4 Mo 0.0000 0.0335 0.0351

E_form = 0.2119 eV/atom
mass density = 9.01 g cm⁻³
total moment = 0.00 μB/cell

***

No. 6
# Ag3As

Ag3As at its PBEsol-relaxed geometry (SCAN, the Alexandria database).

Cell lengths 2.9137, 4.9517, 5.0132 Å; angles 98.87, 90.00, 107.11 degrees
Sites, in units of the cell vectors:
1 Ag 0.5000 0.0000 0.5000
2 As 0.0000 0.0000 0.0000
3 Ag 0.7486 0.4972 0.2498
4 Ag 0.2514 0.5028 0.7502

E_form = 0.0917 eV/atom
mass density = 9.70 g cm⁻³
total moment = 0.00 μB/cell

***

No. 7
# Zr3AgC

Zr3AgC at its PBEsol-relaxed geometry (SCAN, the Alexandria database).

Cell lengths 4.4936, 4.4936, 4.4936 Å; angles 90.00, 90.00, 90.00 degrees
Sites, in units of the cell vectors:
1 Zr 0.0000 0.5000 0.0000
2 Zr 0.0000 0.0000 0.5000
3 Ag 0.5000 0.5000 0.5000
4 Zr 0.5000 0.0000 0.0000
5 C 0.0000 0.0000 0.0000

offset from the most stable computed form = 0.00 eV per formula unit
E_form = -0.4428 eV/atom
mass density = 7.20 g cm⁻³
total moment = 0.00 μB/cell

***

No. 8
# Ce3Al12Os4

Ce3Al12Os4 at its PBEsol-relaxed geometry (SCAN, the Alexandria database).

Cell lengths 8.8254, 8.8254, 9.4835 Å; angles 90.00, 90.00, 120.00 degrees
Site moments in Bohr magnetons follow the coordinates.
Sites, in units of the cell vectors:
1 Al 0.1627 0.3253 0.5762  0.00
2 Al 0.6667 0.3333 0.9828  0.00
3 Al 0.1627 0.8373 0.9238  0.00
4 Al 0.1627 0.3253 0.9238  0.00
5 Al 0.0000 0.0000 0.7500  0.00
6 Al 0.3253 0.1627 0.4238  0.00
7 Al 0.8373 0.1627 0.0762  0.00
8 Os 0.5000 0.0000 0.0000  0.02
9 Os 0.5000 0.5000 0.5000  0.02
10 Al 0.1238 0.5619 0.7500  0.00
11 Al 0.1627 0.8373 0.5762  0.00
12 Ce 0.8063 0.6125 0.7500  0.29
13 Al 0.8373 0.6747 0.4238  0.00
14 Al 0.5619 0.4381 0.2500  0.00
15 Os 0.5000 0.0000 0.5000  0.02
16 Al 0.3333 0.6667 0.0172  0.00
17 Al 0.6747 0.8373 0.5762  0.00
18 Os 0.0000 0.5000 0.0000  0.02
19 Al 0.8762 0.4381 0.2500  0.00
20 Al 0.4381 0.5619 0.7500  0.00
21 Al 0.8373 0.1627 0.4238  0.00
22 Ce 0.3875 0.1937 0.7500  0.29
23 Ce 0.6125 0.8063 0.2500  0.29
24 Os 0.0000 0.0000 0.0000  -0.03
25 Al 0.6667 0.3333 0.5172  0.00
26 Al 0.4381 0.8762 0.7500  0.00
27 Al 0.0000 0.0000 0.2500  0.00
28 Al 0.6747 0.8373 0.9238  0.00
29 Os 0.0000 0.5000 0.5000  0.02
30 Os 0.5000 0.5000 0.0000  0.02
31 Al 0.3253 0.1627 0.0762  0.00
32 Al 0.8373 0.6747 0.0762  0.00
33 Os 0.0000 0.0000 0.5000  -0.03
34 Al 0.5619 0.1238 0.2500  0.00
35 Al 0.3333 0.6667 0.4828  0.00
36 Ce 0.1937 0.3875 0.2500  0.29
37 Ce 0.1937 0.8063 0.2500  0.29
38 Ce 0.8063 0.1937 0.7500  0.29

E_form = -0.6878 eV/atom
mass density = 7.81 g cm⁻³
total moment = 2.34 μB/cell